Crystalline Tl2IBr4 at its relaxed geometry. Source: Alexandria, functional GGA-PBE.

a b c (Å): 7.013 7.013 7.013
angles (deg): 112.54 112.54 103.50
Atoms (fractional coordinates):
Tl 0.250 0.750 0.500
Tl 0.750 0.250 0.500
I 0.000 0.000 0.000
Br 0.266 0.266 0.532
Br 0.266 0.734 0.000
Br 0.734 0.266 0.000
Br 0.734 0.734 0.468

- Magnetic moment: 0.000 μB/atom
- Formation energy without anion corrections: -409.2 meV/atom